First-principles (GGA-PBE) data for an optimized crystal structure of CeY4Ho8, as listed in Alexandria via LeMat-Bulk.

Calculated values
Its space group is R-3m (166). The calculation puts the calculated formation energy at 168 meV/atom.

abc: 9.8181 9.8181 9.8181
angles: 43.55 43.55 43.55
Fractional positions:
Ce 0.0000 0.0000 0.0000
Y 0.0000 0.0000 0.5000
Y 0.0000 0.5000 0.0000
Y 0.5000 0.0000 0.0000
Y 0.5000 0.5000 0.5000
Ho 0.2450 0.2450 0.6964
Ho 0.2450 0.6964 0.2450
Ho 0.2795 0.2795 0.2795
Ho 0.3036 0.7550 0.7550
Ho 0.6964 0.2450 0.2450
Ho 0.7205 0.7205 0.7205
Ho 0.7550 0.3036 0.7550
Ho 0.7550 0.7550 0.3036

***

First-principles (GGA-PBE) data for an optimized crystal structure of CeY2Ho7, as listed in Alexandria via LeMat-Bulk.

Calculated values
Its space group is Cmmm (65). The calculation puts the calculated formation energy at 187 meV/atom.

abc: 14.6927 14.6927 3.4651
angles: 90.00 90.00 154.59
Fractional positions:
Ce 0.0000 0.0000 0.0000
Y 0.2920 0.7080 0.5000
Y 0.7080 0.2920 0.5000
Ho 0.1489 0.3459 0.5000
Ho 0.1858 0.8142 0.0000
Ho 0.3459 0.1489 0.5000
Ho 0.5000 0.5000 0.5000
Ho 0.6541 0.8511 0.5000
Ho 0.8142 0.1858 0.0000
Ho 0.8511 0.6541 0.5000

***

First-principles (GGA-PBE) data for an optimized crystal structure of CeYHo2, as listed in Alexandria via LeMat-Bulk.

Calculated values
Its space group is Fm-3m (225). The calculation puts the excess energy over the best structure of this formula in the dataset at 141.7 meV/atom. The calculation puts the calculated formation energy at 170 meV/atom.

abc: 5.6505 5.6505 5.6505
angles: 60.00 60.00 60.00
Fractional positions:
Ce 0.0000 0.0000 0.0000
Y 0.5000 0.5000 0.5000
Ho 0.2500 0.2500 0.2500
Ho 0.7500 0.7500 0.7500

***

First-principles (GGA-PBE) data for an optimized crystal structure of CeY2Ho, as listed in Alexandria via LeMat-Bulk.

Calculated values
Its space group is R3m (160). The calculation puts the excess energy over the best structure of this formula in the dataset at 0.0 meV/atom. The calculation puts the calculated formation energy at 45 meV/atom.

abc: 11.6185 11.6185 11.6185
angles: 17.63 17.63 17.63
Fractional positions:
Ce 0.0000 0.0000 0.0000
Y 0.4166 0.4166 0.4166
Y 0.5842 0.5842 0.5842
Ho 0.8343 0.8343 0.8343

***

First-principles (GGA-PBE) data for an optimized crystal structure of CeY2Ho, as listed in Alexandria via LeMat-Bulk.

Calculated values
Its space group is P4/mmm (123). The calculation puts the excess energy over the best structure of this formula in the dataset at 29.8 meV/atom. The calculation puts the calculated formation energy at 75 meV/atom.

abc: 5.0105 5.0105 5.0244
angles: 90.00 90.00 90.00
Fractional positions:
Ce 0.0000 0.0000 0.0000
Y 0.0000 0.5000 0.5000
Y 0.5000 0.0000 0.5000
Ho 0.5000 0.5000 0.0000

***

First-principles (GGA-PBE) data for an optimized crystal structure of CeHo4Zn5, as listed in Alexandria via LeMat-Bulk.

Calculated values
Its space group is P4/mmm (123). The calculation puts the calculated formation energy at -309 meV/atom.

abc: 3.5521 3.5521 17.9468
angles: 90.00 90.00 90.00
Fractional positions:
Ce 0.0000 0.0000 0.0000
Ho 0.0000 0.0000 0.2039
Ho 0.0000 0.0000 0.4014
Ho 0.0000 0.0000 0.5986
Ho 0.0000 0.0000 0.7961
Zn 0.5000 0.5000 0.1076
Zn 0.5000 0.5000 0.3022
Zn 0.5000 0.5000 0.5000
Zn 0.5000 0.5000 0.6978
Zn 0.5000 0.5000 0.8924

***

First-principles (GGA-PBE) data for an optimized crystal structure of Ce3HoZn4, as listed in Alexandria via LeMat-Bulk.

Calculated values
Its space group is Pmma (51). The calculation puts the calculated formation energy at -213 meV/atom.

abc: 10.2023 7.2034 5.1019
angles: 90.00 90.00 90.00
Fractional positions:
Ce 0.0000 0.0000 0.0000
Ce 0.2500 0.0000 0.4986
Ce 0.2500 0.5000 0.4989
Ce 0.5000 0.0000 0.0000
Ce 0.7500 0.0000 0.5014
Ce 0.7500 0.5000 0.5011
Ho 0.0000 0.5000 0.0000
Ho 0.5000 0.5000 0.0000
Zn 0.0000 0.2592 0.5000
Zn 0.0000 0.7408 0.5000
Zn 0.2500 0.2592 0.9988
Zn 0.2500 0.7408 0.9988
Zn 0.5000 0.2592 0.5000
Zn 0.5000 0.7408 0.5000
Zn 0.7500 0.2592 0.0012
Zn 0.7500 0.7408 0.0012

***

First-principles (GGA-PBE) data for an optimized crystal structure of CeHoZn10, as listed in Alexandria via LeMat-Bulk.

Calculated values
Its space group is Pmmm (47). The calculation puts the calculated formation energy at -258 meV/atom.

abc: 4.2360 5.3386 9.2122
angles: 90.00 90.00 90.00
Fractional positions:
Ce 0.0000 0.0000 0.0000
Ho 0.0000 0.5000 0.5000
Zn 0.0000 0.0000 0.3383
Zn 0.0000 0.0000 0.6617
Zn 0.0000 0.5000 0.1720
Zn 0.0000 0.5000 0.8280
Zn 0.5000 0.0000 0.5000
Zn 0.5000 0.2492 0.2501
Zn 0.5000 0.2492 0.7499
Zn 0.5000 0.5000 0.0000
Zn 0.5000 0.7508 0.2501
Zn 0.5000 0.7508 0.7499

***

First-principles (GGA-PBE) data for an optimized crystal structure of Ce2Ho3Zn3, as listed in Alexandria via LeMat-Bulk.

Calculated values
Its space group is Immm (71). The calculation puts the calculated formation energy at -207 meV/atom.

abc: 11.3348 11.3348 11.3348
angles: 162.32 154.13 31.51
Fractional positions:
Ce 0.2329 0.2329 0.0000
Ce 0.7671 0.7671 0.0000
Ho 0.0000 0.0000 0.0000
Ho 0.3836 0.8836 0.5000
Ho 0.6164 0.1164 0.5000
Zn 0.1140 0.6140 0.5000
Zn 0.5000 0.5000 0.0000
Zn 0.8860 0.3860 0.5000

***

First-principles (GGA-PBE) data for an optimized crystal structure of CeHoZn4, as listed in Alexandria via LeMat-Bulk.

Calculated values
Its space group is Immm (71). The calculation puts the excess energy over the best structure of this formula in the dataset at 0.0 meV/atom. The calculation puts the calculated formation energy at -318 meV/atom.

abc: 5.6791 5.6791 5.6791
angles: 132.70 104.94 93.67
Fractional positions:
Ce 0.0000 0.0000 0.0000
Ho 0.5000 0.0000 0.5000
Zn 0.0689 0.3331 0.7358
Zn 0.4028 0.6669 0.7358
Zn 0.5972 0.3331 0.2642
Zn 0.9311 0.6669 0.2642

***

First-principles (GGA-PBE) data for an optimized crystal structure of Ce2HoZn3, as listed in Alexandria via LeMat-Bulk.

Calculated values
Its space group is P4/mmm (123). The calculation puts the calculated formation energy at -229 meV/atom.

abc: 3.5462 3.5462 11.0616
angles: 90.00 90.00 90.00
Fractional positions:
Ce 0.0000 0.0000 0.1695
Ce 0.0000 0.0000 0.8305
Ho 0.0000 0.0000 0.5000
Zn 0.5000 0.5000 0.0000
Zn 0.5000 0.5000 0.3437
Zn 0.5000 0.5000 0.6563

***

First-principles (GGA-PBE) data for an optimized crystal structure of CeHo2Zn6, as listed in Alexandria via LeMat-Bulk.

Calculated values
Its space group is P6/mmm (191). The calculation puts the calculated formation energy at -340 meV/atom.

abc: 7.8059 7.8059 3.4543
angles: 90.00 90.00 120.00
Fractional positions:
Ce 0.0000 0.0000 0.0000
Ho 0.3333 0.6667 0.0000
Ho 0.6667 0.3333 0.0000
Zn 0.0000 0.3369 0.5000
Zn 0.0000 0.6631 0.5000
Zn 0.3369 0.0000 0.5000
Zn 0.3369 0.3369 0.5000
Zn 0.6631 0.0000 0.5000
Zn 0.6631 0.6631 0.5000

***

> calculated formation energy of number 12 (CeHo2Zn6)?

-340 meV/atom